Here is an optimized crystal structure of La3Mn from the Alexandria database. Energies are from PBE-GGA.

Lattice parameters (Å, degrees): 3.6011 6.4178 6.4178 63.42 100.78 79.22
With the nearest neighbours (Å) after each atom.
Sites, in units of the cell vectors:
1 La 0.0000 0.5000 0.5000  2 Mn 3.37, 6 La 3.37-3.60
2 La 0.5000 0.0000 0.5000  6 La 3.37-3.60, 2 Mn 3.37
3 Mn 0.5000 0.5000 0.0000  6 La 3.37, 2 Mn 3.60
4 La 0.0000 0.0000 0.0000  6 La 3.37-3.60, 2 Mn 3.37

Properties
Final energy in eV/atom: -5.63

=====

Here is an optimized crystal structure of Mn2AsRh from the Alexandria database. Energies are from PBE-GGA.

Lattice parameters (Å, degrees): 8.1026 8.1026 8.1026 19.40 19.40 19.40
With the nearest neighbours (Å) after each atom.
Sites, in units of the cell vectors:
1 Rh 0.2500 0.2500 0.2500  6 Mn 2.60, 6 Rh 2.73
2 Mn 0.4965 0.4965 0.4965  3 As 2.47, 3 Rh 2.60, 6 Mn 2.73
3 Mn 0.0035 0.0035 0.0035  3 As 2.47, 3 Rh 2.60, 6 Mn 2.73
4 As 0.7500 0.7500 0.7500  6 Mn 2.47, 6 As 2.73

Properties
Final energy in eV/atom: -7.40

=====

Here is an optimized crystal structure of LiTcHg2 from the Alexandria database. Energies are from PBE-GGA.

Lattice parameters (Å, degrees): 4.2551 4.2551 9.8032 77.47 77.47 90.00
With the nearest neighbours (Å) after each atom.
Sites, in units of the cell vectors:
1 Tc 0.7500 0.2500 0.5000  4 Hg 2.79, 4 Li 3.01
2 Hg 0.6190 0.1250 0.2500  2 Li 2.77, 2 Tc 2.79, 4 Hg 2.97-3.04
3 Tc 0.0000 0.0000 0.0000  4 Hg 2.79, 4 Li 3.01
4 Hg 0.8750 0.8690 0.7500  2 Li 2.77, 2 Tc 2.79, 4 Hg 2.97-3.04
5 Hg 0.3750 0.3810 0.7500  2 Li 2.77, 2 Tc 2.79, 4 Hg 2.97-3.04
6 Li 0.2500 0.7500 0.5000  4 Hg 2.77, 4 Tc 3.01
7 Hg 0.1310 0.6250 0.2500  2 Li 2.77, 2 Tc 2.79, 4 Hg 2.97-3.04
8 Li 0.5000 0.5000 0.0000  4 Hg 2.77, 4 Tc 3.01

Properties
Final energy in eV/atom: -2.53
E above lowest polymorph in meV per atom: 535

=====

Here is an optimized crystal structure of SmBe3Ir3 from the Alexandria database. Energies are from PBE-GGA.

Lattice parameters (Å, degrees): 6.0775 6.0775 6.0775 90.00 90.00 90.00
With the nearest neighbours (Å) after each atom.
Sites, in units of the cell vectors:
1 Sm 0.0000 0.0000 0.0000  12 Be 3.40, 12 Ir 3.40
2 Be 0.0000 0.7500 0.5000  4 Ir 2.15
3 Be 0.0000 0.2500 0.5000  4 Ir 2.15
4 Be 0.7500 0.5000 0.0000  4 Ir 2.15
5 Ir 0.0000 0.5000 0.7500  4 Be 2.15
6 Ir 0.0000 0.5000 0.2500  4 Be 2.15
7 Be 0.2500 0.5000 0.0000  4 Ir 2.15
8 Ir 0.5000 0.2500 0.0000  4 Be 2.15
9 Ir 0.5000 0.7500 0.0000  4 Be 2.15
10 Ir 0.7500 0.0000 0.5000  4 Be 2.15
11 Sm 0.5000 0.5000 0.5000  12 Be 3.40, 12 Ir 3.40
12 Be 0.5000 0.0000 0.2500  4 Ir 2.15
13 Be 0.5000 0.0000 0.7500  4 Ir 2.15
14 Ir 0.2500 0.0000 0.5000  4 Be 2.15

Properties
Final energy in eV/atom: -6.21

=====

Here is an optimized crystal structure of TbLuOsRh from the Alexandria database. Energies are from PBE-GGA.

Lattice parameters (Å, degrees): 4.7907 4.7907 4.7907 60.00 60.00 60.00
With the nearest neighbours (Å) after each atom.
Sites, in units of the cell vectors:
1 Rh 0.0000 0.0000 0.0000  4 Tb 2.93, 4 Lu 2.93
2 Os 0.5000 0.5000 0.5000  4 Lu 2.93, 4 Tb 2.93
3 Lu 0.7500 0.7500 0.7500  4 Os 2.93, 4 Rh 2.93
4 Tb 0.2500 0.2500 0.2500  4 Os 2.93, 4 Rh 2.93

Properties
Final energy in eV/atom: -7.46

=====

Here is an optimized crystal structure of CuGeSe2 from the Alexandria database. Energies are from PBE-GGA.

Lattice parameters (Å, degrees): 8.6536 8.6536 8.6536 22.85 22.85 22.85
With the nearest neighbours (Å) after each atom.
Sites, in units of the cell vectors:
1 Ge 0.0000 0.0000 0.0000  2 Se 2.74
2 Cu 0.5000 0.5000 0.5000  6 Se 2.47
3 Se 0.8918 0.8918 0.8918  3 Cu 2.47, 1 Ge 2.74
4 Se 0.1082 0.1082 0.1082  3 Cu 2.47, 1 Ge 2.74

Properties
Final energy in eV/atom: -3.75
Formation energy (no corrections) in kcal/mol of atoms: 4.04

=====

Here is an optimized crystal structure of Cd2WBr from the Alexandria database. Energies are from PBE-GGA.

Lattice parameters (Å, degrees): 9.3406 9.3406 9.3406 19.98 19.98 19.98
With the nearest neighbours (Å) after each atom.
Sites, in units of the cell vectors:
1 W 0.2500 0.2500 0.2500  6 Cd 2.90, 6 W 3.24
2 Cd 0.5025 0.5025 0.5025  3 W 2.90, 3 Br 3.01, 6 Cd 3.24
3 Cd 0.9975 0.9975 0.9975  3 W 2.90, 3 Br 3.01, 6 Cd 3.24
4 Br 0.7500 0.7500 0.7500  6 Cd 3.01, 6 Br 3.24

Properties
Final energy in eV/atom: -3.61
Formation energy (no corrections) in kcal/mol of atoms: 11.67
E above lowest polymorph in meV per atom: 49

=====

Here is an optimized crystal structure of Tb2Er2Sc7 from the Alexandria database. Energies are from PBE-GGA.

Lattice parameters (Å, degrees): 9.1652 6.3576 6.3576 121.63 99.08 99.08
With the nearest neighbours (Å) after each atom.
Sites, in units of the cell vectors:
1 Sc 0.6180 0.7458 0.7458  4 Sc 3.11-3.34, 2 Tb 3.19, 1 Er 3.42
2 Sc 0.8428 0.5181 0.9411  5 Sc 2.94-3.22, 1 Tb 3.13
3 Sc 0.1572 0.4819 0.0589  5 Sc 2.94-3.22, 1 Tb 3.13
4 Sc 0.8428 0.9411 0.5181  5 Sc 2.94-3.22, 1 Tb 3.13
5 Er 0.2058 0.6628 0.6628  7 Sc 3.24-3.50
6 Sc 0.0000 0.0000 0.0000  4 Sc 2.97, 2 Er 3.24
7 Sc 0.1572 0.0589 0.4819  5 Sc 2.94-3.22, 1 Tb 3.13
8 Tb 0.5000 0.2092 0.7908  4 Sc 3.13-3.19, 2 Tb 3.23
9 Sc 0.3820 0.2542 0.2542  4 Sc 3.11-3.34, 2 Tb 3.19, 1 Er 3.42
10 Er 0.7942 0.3372 0.3372  7 Sc 3.24-3.50
11 Tb 0.5000 0.7908 0.2092  4 Sc 3.13-3.19, 2 Tb 3.23

Properties
Final energy in eV/atom: -5.53